Record 1
Compound: Tb4PmEr3S8
Source: the Alexandria database
Functional: PBE-GGA
Structure: optimized geometry

Lattice parameters (Å, degrees): 7.836 7.836 7.836 60.02 60.02 60.02
Sites, in units of the cell vectors:
Tb 0.000 0.000 0.000
Tb 0.000 0.500 0.500
Tb 0.500 0.000 0.500
Tb 0.500 0.500 0.000
Pm 0.500 0.500 0.500
Er 0.000 0.000 0.500
Er 0.000 0.500 0.000
Er 0.500 0.000 0.000
S 0.242 0.753 0.753
S 0.247 0.247 0.758
S 0.247 0.758 0.247
S 0.248 0.248 0.248
S 0.752 0.752 0.752
S 0.753 0.242 0.753
S 0.753 0.753 0.242
S 0.758 0.247 0.247

V	340	Å³/cell
space group	No. 166
energy relative to the elements, uncorrected	-3063	kJ/mol of formula units
DOS(E_F)	8.701	states/eV/f.u.
magnetic moment	0.00	μB per formula unit

=====

Record 2
Compound: BaLiIr2
Source: the Alexandria database
Functional: PBE-GGA
Structure: optimized geometry

Lattice parameters (Å, degrees): 6.842 6.842 6.842 90.00 90.00 90.00
Sites, in units of the cell vectors:
Ba 0.000 0.000 0.000
Ba 0.000 0.500 0.500
Ba 0.500 0.000 0.500
Ba 0.500 0.500 0.000
Li 0.250 0.250 0.250
Li 0.250 0.750 0.750
Li 0.750 0.250 0.750
Li 0.750 0.750 0.250
Ir 0.000 0.000 0.500
Ir 0.000 0.500 0.000
Ir 0.250 0.250 0.750
Ir 0.250 0.750 0.250
Ir 0.500 0.000 0.000
Ir 0.500 0.500 0.500
Ir 0.750 0.250 0.250
Ir 0.750 0.750 0.750

V	320	Å³/cell
space group	No. 216
DFT formation energy	0.52	eV/atom
ΔE to the lowest computed polymorph	67.8	kJ per mole of atoms
DOS(E_F)	5.625	states/eV/f.u.
magnetic moment	1.22	μB per formula unit

=====

Record 3
Compound: Al2CrSe
Source: the Alexandria database
Functional: PBE-GGA
Structure: optimized geometry

Lattice parameters (Å, degrees): 5.407 7.610 3.236 90.00 90.00 90.00
Sites, in units of the cell vectors:
Al 0.250 0.250 0.000
Al 0.250 0.750 0.000
Al 0.750 0.250 0.000
Al 0.750 0.750 0.000
Cr 0.000 0.000 0.500
Cr 0.500 0.500 0.500
Se 0.000 0.500 0.500
Se 0.500 0.000 0.500

V	133	Å³/cell
space group	No. 65
ΔE to the lowest computed polymorph	12.5	kJ per mole of atoms
energy relative to the elements, uncorrected	38	kJ/mol of formula units
DOS(E_F)	2.074	states/eV/f.u.
magnetic moment	3.34	μB per formula unit

=====

Record 4
Compound: K2ScP
Source: the Alexandria database
Functional: PBE-GGA
Structure: optimized geometry

Lattice parameters (Å, degrees): 3.224 3.224 11.814 90.00 90.00 90.00
Sites, in units of the cell vectors:
K 0.000 0.000 0.192
K 0.000 0.000 0.808
Sc 0.500 0.500 0.500
P 0.500 0.500 0.000

V	123	Å³/cell
space group	No. 123
DFT formation energy	0.41	eV/atom
DOS(E_F)	4.277	states/eV/f.u.
magnetic moment	0.48	μB per formula unit

=====

Which value of magnetic moment does entry 4 give? 0.48 μB per formula unit